NaPaCo2O6 | PBE with a Hubbard U | optimized geometry

a = 5.167 Å, b = 5.167 Å, c = 6.090 Å
α = 64.90°, β = 64.90°, γ = 60.00°
Fractional coordinates of all 10 atoms:
O1 0.582 0.184 0.291
O2 0.184 0.944 0.291
O3 0.418 0.816 0.709
Co1 0.174 0.174 0.478
O4 0.056 0.418 0.709
O5 0.816 0.056 0.709
O6 0.944 0.582 0.291
Na1 0.500 0.500 0.500
Pa1 0.000 0.000 0.000
Co2 0.826 0.826 0.522

Summary:
As for the total energy: -6.932 eV/atom.